1.
6
Lattice="-1.952 1.906 -1.825 -1.285 -2.669 -1.413 -8.047 -0.441 8.147" Properties=species:S:1:pos:R:3 comment="Hf4InTc, relaxed, DFT PBE" formation_enthalpy_0k_ev_per_atom=-0.241 density_kg_m3=12470 crystal_system=tetragonal energy_ev_per_atom=-9.06 pbc="T T T"
Hf -2.569 -0.141 2.601
Hf -8.550 -0.761 5.399
Hf -8.714 -1.063 2.308
Hf -2.734 -0.443 -0.490
In -5.642 -0.602 2.454
Tc 0.000 0.000 0.000

***

2.
20
Lattice="-6.086 2.897 -2.013 -2.935 -1.446 6.793 3.292 9.127 3.365" Properties=species:S:1:pos:R:3 comment="Sr2PrUS6, relaxed, DFT PBE" raw_formation_energy_ev_per_atom=-1.820 density_kg_m3=4552 crystal_system=monoclinic energy_ev_per_atom=-6.24 pbc="T T T"
S -3.122 6.720 2.548
S -2.607 3.859 5.597
S -2.669 6.452 8.221
S -5.404 6.274 5.820
S -0.326 4.305 2.324
S -6.149 3.933 2.732
S -3.060 4.127 -0.076
S -2.104 10.130 3.882
S -1.462 0.837 1.264
S -3.625 0.449 4.262
S -4.267 9.742 6.880
S 0.419 6.646 5.413
Pr 0.178 3.841 5.079
Pr -3.043 1.449 -1.007
U -1.468 -0.723 3.396
U -1.397 6.012 0.676
Sr -3.682 9.544 1.113
Sr -3.280 3.041 2.741
Sr -2.449 7.538 5.403
Sr -2.048 1.035 7.031

***

3.
8
Lattice="4.079 0.000 0.000 2.040 3.533 0.000 2.040 1.178 9.262" Properties=species:S:1:pos:R:3 comment="SrZnCu4Si2, relaxed, DFT PBE" raw_formation_energy_ev_per_atom=-0.112 density_kg_m3=5766 crystal_system=trigonal energy_ev_per_atom=-3.89 pbc="T T T"
Zn 4.079 2.355 4.631
Cu 4.079 2.355 2.226
Cu 6.119 3.533 3.368
Cu 2.040 1.178 5.894
Cu 4.079 2.355 7.036
Sr 0.000 0.000 0.000
Si 6.119 3.533 6.801
Si 2.040 1.178 2.461

***

4.
8
Lattice="12.021 0.000 0.000 0.000 12.021 0.000 6.010 6.010 2.482" Properties=species:S:1:pos:R:3 comment="K2MnPd, relaxed, DFT PBE" formation_enthalpy_0k_ev_per_atom=0.453 density_kg_m3=2218 crystal_system=tetragonal energy_ev_per_atom=-3.69 pbc="T T T"
Pd 12.021 6.010 1.241
Pd 0.000 0.000 0.000
K 15.026 4.987 1.862
K 9.015 7.034 1.862
K 10.997 3.005 0.621
K 13.044 9.015 0.621
Mn 6.010 6.010 0.000
Mn 6.010 12.021 1.241

***

5.
14
Lattice="6.873 0.000 0.000 0.000 6.873 0.000 0.000 0.000 6.873" Properties=species:S:1:pos:R:3 comment="Ga3Pd3Pb, relaxed, DFT PBE" formation_enthalpy_0k_ev_per_atom=-0.091 density_kg_m3=7526 crystal_system=cubic energy_ev_per_atom=-4.14 pbc="T T T"
Pd 5.154 0.000 3.436
Pd 3.436 1.718 0.000
Pd 0.000 3.436 1.718
Pd 0.000 3.436 5.154
Pd 3.436 5.154 0.000
Pd 1.718 0.000 3.436
Ga 3.436 0.000 5.154
Ga 0.000 1.718 3.436
Ga 1.718 3.436 0.000
Ga 0.000 5.154 3.436
Ga 5.154 3.436 0.000
Ga 3.436 0.000 1.718
Pb 3.436 3.436 3.436
Pb 0.000 0.000 0.000

***

6.
12
Lattice="-6.503 -1.326 2.370 -1.540 -2.346 -5.536 5.850 -7.190 1.551" Properties=species:S:1:pos:R:3 comment="Pm3Dy2Mg, relaxed, DFT PBE" formation_enthalpy_0k_ev_per_atom=0.018 density_kg_m3=6836 crystal_system=monoclinic energy_ev_per_atom=-4.16 pbc="T T T"
Pm 1.558 -2.650 0.177
Pm -1.357 -6.708 0.385
Pm -4.495 -1.424 0.114
Pm -0.835 -4.154 -1.999
Pm -3.547 -2.247 -3.280
Pm -3.751 -8.212 -1.791
Dy -0.475 -7.543 -2.940
Dy -1.717 -3.318 1.325
Dy -4.091 -4.818 -0.858
Dy 1.899 -6.043 -0.756
Mg -6.797 -2.910 -2.095
Mg -1.246 -0.762 -1.070

***

7.
4
Lattice="5.037 0.000 0.000 2.518 4.362 0.000 2.518 1.454 4.113" Properties=species:S:1:pos:R:3 comment="Ca2TlIr, relaxed, DFT PBE" formation_enthalpy_0k_ev_per_atom=-0.083 density_kg_m3=8761 crystal_system=cubic energy_ev_per_atom=-3.89 pbc="T T T"
Tl 7.555 4.362 3.084
Ir 5.037 2.908 2.056
Ca 2.518 1.454 1.028
Ca 0.000 0.000 0.000

***

8.
32
Lattice="16.403 0.000 -1.650 2.973 5.579 -4.701 -2.973 5.579 4.701" Properties=species:S:1:pos:R:3 comment="YAuSe2, relaxed, DFT PBE" raw_formation_energy_ev_per_atom=-1.079 density_kg_m3=7317 crystal_system=monoclinic energy_ev_per_atom=-5.26 pbc="T T T"
Se -1.732 5.662 3.232
Se 9.443 5.496 -2.295
Se 7.827 2.434 0.246
Se 12.323 1.576 -1.592
Se 18.135 5.496 -4.881
Se 4.080 9.581 -0.058
Se -0.374 3.145 1.071
Se 8.576 8.723 -1.895
Se 10.816 4.653 1.113
Se 4.121 4.003 -0.767
Se 5.587 6.505 -2.763
Se 12.282 7.155 -0.883
Se 2.614 6.858 1.938
Se 6.961 5.662 0.645
Se 13.789 4.300 -3.588
Se 16.778 8.013 -2.720
Y 13.254 4.192 -0.493
Y 11.351 9.771 -1.981
Y 3.149 6.966 -1.156
Y 9.330 7.017 0.184
Y 15.275 1.438 -2.659
Y 7.073 4.141 -1.834
Y 1.129 9.720 1.009
Y 5.053 1.387 0.331
Au 15.435 5.940 -2.697
Au 2.433 2.255 -1.320
Au 0.968 5.218 1.047
Au 5.769 7.834 0.495
Au 4.261 5.218 2.829
Au 12.143 5.940 -4.479
Au 13.971 8.903 -0.330
Au 10.635 3.324 -2.145